TcSbRu2: relaxed, PBE.

Cell: 4.1407 4.1407 3.7068 Å, 90.00 90.00 90.00°
Fractional positions:
Tc1 0.0000 0.0000 0.0000
Sb1 0.5000 0.5000 0.0000
Ru1 0.0000 0.5000 0.5000
Ru2 0.5000 0.0000 0.5000

Properties
* density: 11.02 Mg/m³
* formation energy from raw total energies: 1.2 eV per formula unit
* SG: P4/mmm (123)
* total DFT energy (no corrections): -31.81 eV per formula unit
* V: 15.89 A^3/atom